Entry from Alexandria via LeMat-Bulk: a relaxed NdEuDy crystal (PBE).

Computed properties:
Mass density: 7.2 g/cm³
SG: P3m1

a = 3.683 Å, b = 3.683 Å, c = 9.048 Å
α = 90.00°, β = 90.00°, γ = 120.00°
Site moments in Bohr magnetons follow the coordinates.
Element x y z (fractional)
Nd: 0.667 0.333 0.346  -0.03
Dy: 0.333 0.667 0.658  -0.02
Eu: 0.000 0.000 0.996  6.99

Entry from Alexandria via LeMat-Bulk: a relaxed Nd2EuDy crystal (PBE).

Computed properties:
Mass density: 7.1 g/cm³
SG: Fm-3m
Energy relative to the lowest polymorph listed for this composition: 100 meV/atom

a = 5.851 Å, b = 5.851 Å, c = 5.851 Å
α = 60.00°, β = 60.00°, γ = 60.00°
Site moments in Bohr magnetons follow the coordinates.
Element x y z (fractional)
Dy: 0.500 0.500 0.500  0.15
Eu: 0.000 0.000 0.000  6.87
Nd: 0.750 0.750 0.750  0.12
Nd: 0.250 0.250 0.250  0.12

Entry from Alexandria via LeMat-Bulk: a relaxed Nd2EuDy crystal (PBE).

Computed properties:
Mass density: 7.1 g/cm³
SG: P4/mmm
Energy relative to the lowest polymorph listed for this composition: 90 meV/atom

a = 3.858 Å, b = 6.053 Å, c = 6.053 Å
α = 90.00°, β = 90.00°, γ = 90.00°
Site moments in Bohr magnetons follow the coordinates.
Element x y z (fractional)
Dy: 0.500 0.500 0.500  -0.04
Eu: 0.500 0.000 0.000  -6.95
Nd: 0.000 0.500 0.000  -0.13
Nd: 0.000 0.000 0.500  -0.13

Entry from Alexandria via LeMat-Bulk: a relaxed NdEuDy crystal (PBE).

Computed properties:
Mass density: 7.1 g/cm³
SG: I4mm

a = 3.700 Å, b = 3.700 Å, c = 8.230 Å
α = 102.99°, β = 102.99°, γ = 90.00°
Site moments in Bohr magnetons follow the coordinates.
Element x y z (fractional)
Nd: 0.675 0.675 0.350  -0.06
Dy: 0.327 0.327 0.653  -0.06
Eu: 0.998 0.998 0.997  6.96

Entry from Alexandria via LeMat-Bulk: a relaxed Nd2EuDy crystal (PBE).

Computed properties:
Mass density: 6.9 g/cm³
SG: R-3m
Energy relative to the lowest polymorph listed for this composition: 97 meV/atom

a = 3.607 Å, b = 3.607 Å, c = 12.964 Å
α = 82.00°, β = 82.00°, γ = 60.00°
Site moments in Bohr magnetons follow the coordinates.
Element x y z (fractional)
Eu: 0.000 0.000 0.000  7.10
Dy: 0.500 0.500 0.500  0.01
Nd: 0.091 0.091 0.726  0.05
Nd: 0.909 0.909 0.274  0.05

Entry from Alexandria via LeMat-Bulk: a relaxed Nd2EuDy crystal (PBE).

Computed properties:
Mass density: 7.1 g/cm³
SG: P4/mmm
Energy relative to the lowest polymorph listed for this composition: 0 meV/atom

a = 3.678 Å, b = 3.678 Å, c = 10.493 Å
α = 90.00°, β = 90.00°, γ = 90.00°
Site moments in Bohr magnetons follow the coordinates.
Element x y z (fractional)
Nd: 0.000 0.000 0.765  0.02
Dy: 0.500 0.500 0.000  -0.12
Eu: 0.500 0.500 0.500  6.95
Nd: 0.000 0.000 0.235  0.02

The calculation returns the following calculated total energy values, one per record and in order: -6.504; -5.968; -5.978; -6.504; -5.970; -6.068 eV per atom.
The calculation returns the following DFT formation energy values, one per record and in order: 0.044; 0.135; 0.125; 0.044; 0.133; 0.035 eV per atom.